Here is an optimized crystal structure of CdSe3 from the Alexandria database. Energies are from GGA-PBE.

The structure in POSCAR format:
```
CdSe3
1.0
7.9656 0.0000 0.0000
0.0000 7.0793 0.0000
0.0000 0.0000 7.5704
Cd Se
4 12
Cartesian
0.8089 1.7698 1.0538 Cd
3.1739 5.3095 4.8390 Cd
4.7917 1.7698 2.7314 Cd
7.1568 5.3095 6.5166 Cd
1.0810 1.7698 4.7495 Se
1.4393 3.5629 6.3145 Se
1.4393 7.0560 6.3145 Se
2.5436 0.0233 2.5293 Se
2.5436 3.5164 2.5293 Se
2.9018 5.3095 0.9643 Se
5.0638 1.7698 6.6061 Se
5.4221 3.5629 5.0412 Se
5.4221 7.0560 5.0412 Se
6.5264 0.0233 1.2559 Se
6.5264 3.5164 1.2559 Se
6.8846 5.3095 2.8209 Se
```

Computed properties:
Its space group is Pnma, No. 62. The value obtained for the energy is -12.03 eV per formula unit.

=====

Here is an optimized crystal structure of GaMo2C from the Alexandria database. Energies are from GGA-PBE.

The structure in POSCAR format:
```
GaMo2C
1.0
4.7702 -1.4755 0.0000
4.7702 1.4755 0.0000
-4.1695 0.0000 7.5962
Ga Mo C
2 4 2
Cartesian
0.0000 0.0000 0.0000 Ga
2.7311 0.0000 6.4869 Ga
0.1454 0.0000 2.6459 Mo
0.2036 0.0000 5.3619 Mo
2.7374 0.0000 1.3179 Mo
7.1382 0.0000 3.9935 Mo
4.0155 0.0000 4.0707 C
6.3039 0.0000 2.0486 C
```

Computed properties:
Its energy of formation is 0.04 eV per atom. Its space group is Cm, No. 8. The offset from the most stable computed form is 164.9 meV/atom.

=====

Here is an optimized crystal structure of DySbRh from the Alexandria database. Energies are from GGA-PBE.

The structure in POSCAR format:
```
DySbRh
1.0
4.5823 0.0000 0.0000
-2.2912 3.9684 0.0000
0.0000 0.0000 3.5617
Dy Sb Rh
1 1 1
Cartesian
0.0000 0.0000 0.0000 Dy
2.2912 1.3228 1.7809 Sb
0.0000 2.6456 1.7809 Rh
```

Computed properties:
Its space group is P-6m2, No. 187. The value obtained for the energy is -18.81 eV per formula unit.

=====

Here is an optimized crystal structure of CeNdPb2 from the Alexandria database. Energies are from GGA-PBE.

The structure in POSCAR format:
```
CeNdPb2
1.0
3.6349 -4.5920 0.0000
3.6349 4.5920 0.0000
0.0000 0.0000 3.5856
Ce Nd Pb
1 1 2
Cartesian
0.0000 0.0000 0.0000 Ce
3.6349 0.0000 0.0000 Nd
1.8175 2.2960 1.7928 Pb
1.8175 -2.2960 1.7928 Pb
```

Computed properties:
Its energy of formation is -0.46 eV per atom. Its space group is Cmmm, No. 65.